[1]
VASP calculation (PBE) on an optimized crystal structure of ScOsRu2C.

Values from the calculation:
The value obtained for the volume is 69 Å³ per cell. For the formation energy, the calculation gives -201.2 meV/atom. Its crystal system is tetragonal. The total magnetic moment is 0.00 μB/atom. As for the space-group type: No. 123.

Structure (extended XYZ):
```
5
Lattice="4.100 0.000 0.000 0.000 4.100 0.000 0.000 0.000 4.080" Properties=species:S:1:pos:R:3 pbc="T T T"
Sc 0.000 0.000 0.000
Os 2.050 2.050 0.000
Ru 0.000 2.050 2.040
Ru 2.050 0.000 2.040
C 2.050 2.050 2.040
```


[2]
VASP calculation (PBE) on an optimized crystal structure of SnOsRuC2.

Values from the calculation:
The value obtained for the volume is 86 Å³ per cell. For the formation energy, the calculation gives 1961.1 meV/atom. Its crystal system is tetragonal. The total magnetic moment is 0.33 μB/atom. As for the space-group type: No. 123.

Structure (extended XYZ):
```
5
Lattice="3.875 0.000 0.000 0.000 3.875 0.000 0.000 0.000 5.726" Properties=species:S:1:pos:R:3 pbc="T T T"
Sn 0.000 0.000 0.000
Os 1.937 1.937 0.000
Ru 0.000 0.000 2.863
C 0.000 1.937 2.863
C 1.937 0.000 2.863
```


[3]
VASP calculation (PBE) on an optimized crystal structure of YOsRu2C.

Values from the calculation:
The value obtained for the volume is 73 Å³ per cell. For the formation energy, the calculation gives -99.5 meV/atom. Its crystal system is tetragonal. The total magnetic moment is 0.00 μB/atom. As for the space-group type: No. 123.

Structure (extended XYZ):
```
5
Lattice="4.190 0.000 0.000 0.000 4.190 0.000 0.000 0.000 4.145" Properties=species:S:1:pos:R:3 pbc="T T T"
Y 0.000 0.000 0.000
Os 2.095 2.095 0.000
Ru 0.000 2.095 2.073
Ru 2.095 0.000 2.073
C 2.095 2.095 2.073
```


[4]
VASP calculation (PBE) on an optimized crystal structure of Os2CS.

Values from the calculation:
The value obtained for the volume is 185 Å³ per cell. For the uncorrected formation energy, the calculation gives 1247 meV per atom. For the energy above the most stable polymorph in this dataset, the calculation gives 0.7722 eV per atom. Its crystal system is cubic. The total magnetic moment is 0.00 μB/atom. As for the space-group type: No. 225.

Structure (extended XYZ):
```
16
Lattice="5.694 0.000 0.000 0.000 5.694 0.000 0.000 0.000 5.694" Properties=species:S:1:pos:R:3 pbc="T T T"
Os 1.423 1.423 1.423
Os 1.423 1.423 4.270
Os 1.423 4.270 1.423
Os 1.423 4.270 4.270
Os 4.270 1.423 1.423
Os 4.270 1.423 4.270
Os 4.270 4.270 1.423
Os 4.270 4.270 4.270
C 0.000 0.000 0.000
C 0.000 2.847 2.847
C 2.847 0.000 2.847
C 2.847 2.847 0.000
S 0.000 0.000 2.847
S 0.000 2.847 0.000
S 2.847 0.000 0.000
S 2.847 2.847 2.847
```


[5]
VASP calculation (PBE) on an optimized crystal structure of Os3CS.

Values from the calculation:
The value obtained for the volume is 68 Å³ per cell. For the uncorrected formation energy, the calculation gives 1108 meV per atom. For the energy above the most stable polymorph in this dataset, the calculation gives 0.0000 eV per atom. Its crystal system is cubic. The total magnetic moment is 0.00 μB/atom. As for the space-group type: No. 221.

Structure (extended XYZ):
```
5
Lattice="4.073 0.000 0.000 0.000 4.073 0.000 0.000 0.000 4.073" Properties=species:S:1:pos:R:3 pbc="T T T"
Os 0.000 0.000 2.037
Os 0.000 2.037 0.000
Os 2.037 0.000 0.000
C 0.000 0.000 0.000
S 2.037 2.037 2.037
```


[6]
VASP calculation (PBE) on an optimized crystal structure of OsCS3.

Values from the calculation:
The value obtained for the volume is 62 Å³ per cell. For the uncorrected formation energy, the calculation gives 1516 meV per atom. For the energy above the most stable polymorph in this dataset, the calculation gives 0.0000 eV per atom. Its crystal system is cubic. The total magnetic moment is 0.00 μB/atom. As for the space-group type: No. 221.

Structure (extended XYZ):
```
5
Lattice="3.964 0.000 0.000 0.000 3.964 0.000 0.000 0.000 3.964" Properties=species:S:1:pos:R:3 pbc="T T T"
Os 0.000 0.000 0.000
C 1.982 1.982 1.982
S 0.000 1.982 1.982
S 1.982 0.000 1.982
S 1.982 1.982 0.000
```


[7]
VASP calculation (PBE) on an optimized crystal structure of OsCS3.

Values from the calculation:
The value obtained for the volume is 97 Å³ per cell. For the uncorrected formation energy, the calculation gives 1869 meV per atom. For the energy above the most stable polymorph in this dataset, the calculation gives 0.3522 eV per atom. Its crystal system is cubic. The total magnetic moment is 0.29 μB/atom. As for the space-group type: No. 221.

Structure (extended XYZ):
```
5
Lattice="4.596 0.000 0.000 0.000 4.596 0.000 0.000 0.000 4.596" Properties=species:S:1:pos:R:3 pbc="T T T"
Os 0.000 0.000 0.000
C 2.298 2.298 2.298
S 0.000 0.000 2.298
S 0.000 2.298 0.000
S 2.298 0.000 0.000
```


[8]
VASP calculation (PBE) on an optimized crystal structure of Os2CS.

Values from the calculation:
The value obtained for the volume is 235 Å³ per cell. For the uncorrected formation energy, the calculation gives 475 meV per atom. For the energy above the most stable polymorph in this dataset, the calculation gives 0.0000 eV per atom. Its crystal system is tetragonal. The total magnetic moment is 0.00 μB/atom. As for the space-group type: No. 122.

Structure (extended XYZ):
```
16
Lattice="4.913 0.000 0.000 0.000 4.913 0.000 0.000 0.000 9.743" Properties=species:S:1:pos:R:3 pbc="T T T"
Os 1.003 1.228 1.218
Os 1.228 3.460 3.653
Os 1.228 3.910 8.525
Os 1.454 1.228 6.089
Os 3.460 3.685 6.089
Os 3.685 1.003 8.525
Os 3.685 1.454 3.653
Os 3.910 3.685 1.218
C 0.000 0.000 0.000
C 0.000 2.457 2.436
C 2.457 0.000 7.307
C 2.457 2.457 4.871
S 0.000 0.000 4.871
S 0.000 2.457 7.307
S 2.457 0.000 2.436
S 2.457 2.457 0.000
```


[9]
VASP calculation (PBE) on an optimized crystal structure of TeOs2CS.

Values from the calculation:
The value obtained for the volume is 101 Å³ per cell. For the uncorrected formation energy, the calculation gives 2484 meV per atom. Its crystal system is tetragonal. The total magnetic moment is 0.39 μB/atom. As for the space-group type: No. 123.

Structure (extended XYZ):
```
5
Lattice="4.262 0.000 0.000 0.000 4.262 0.000 0.000 0.000 5.555" Properties=species:S:1:pos:R:3 pbc="T T T"
Te 0.000 0.000 0.000
Os 0.000 2.131 2.777
Os 2.131 0.000 2.777
C 2.131 2.131 0.000
S 0.000 0.000 2.777
```


[10]
VASP calculation (PBE) on an optimized crystal structure of Th6OsC2S3.

Values from the calculation:
The value obtained for the volume is 274 Å³ per cell. For the uncorrected formation energy, the calculation gives -1097 meV per atom. Its crystal system is monoclinic. The total magnetic moment is 0.00 μB/atom. As for the space-group type: No. 12.

Structure (extended XYZ):
```
12
Lattice="8.843 -1.960 0.000 8.843 1.960 0.000 -2.205 0.000 7.896" Properties=species:S:1:pos:R:3 pbc="T T T"
Th -0.336 0.000 1.962
Th 4.770 0.000 3.447
Th 3.923 0.000 6.999
Th 11.557 0.000 0.897
Th 10.710 0.000 4.449
Th 15.816 0.000 5.935
Os 8.843 0.000 0.000
C 2.274 0.000 2.663
C 13.207 0.000 5.234
S 1.077 0.000 6.563
S 7.740 0.000 3.948
S 14.403 0.000 1.333
```


[11]
VASP calculation (PBE) on an optimized crystal structure of Sb2OsC.

Values from the calculation:
The value obtained for the volume is 326 Å³ per cell. For the uncorrected formation energy, the calculation gives 1005 meV per atom. Its crystal system is tetragonal. The total magnetic moment is 0.00 μB/atom. As for the space-group type: No. 122.

Structure (extended XYZ):
```
16
Lattice="5.768 0.000 0.000 0.000 5.768 0.000 0.000 0.000 9.801" Properties=species:S:1:pos:R:3 pbc="T T T"
Sb 1.161 1.442 1.225
Sb 1.442 4.045 3.675
Sb 1.442 4.607 8.576
Sb 1.723 1.442 6.126
Sb 4.045 4.326 6.126
Sb 4.326 1.161 8.576
Sb 4.326 1.723 3.675
Sb 4.607 4.326 1.225
Os 0.000 0.000 4.901
Os 0.000 2.884 7.351
Os 2.884 0.000 2.450
Os 2.884 2.884 0.000
C 0.000 0.000 0.000
C 0.000 2.884 2.450
C 2.884 0.000 7.351
C 2.884 2.884 4.901
```


[12]
VASP calculation (PBE) on an optimized crystal structure of SbOs3C.

Values from the calculation:
The value obtained for the volume is 114 Å³ per cell. For the uncorrected formation energy, the calculation gives 3865 meV per atom. For the energy above the most stable polymorph in this dataset, the calculation gives 3.1228 eV per atom. Its crystal system is cubic. The total magnetic moment is 0.58 μB/atom. As for the space-group type: No. 221.

Structure (extended XYZ):
```
5
Lattice="4.851 0.000 0.000 0.000 4.851 0.000 0.000 0.000 4.851" Properties=species:S:1:pos:R:3 pbc="T T T"
Sb 0.000 0.000 0.000
Os 0.000 0.000 2.425
Os 0.000 2.425 0.000
Os 2.425 0.000 0.000
C 2.425 2.425 2.425
```